PmNiSn, optimized geometry, DFT PBE; total energy = -5.2011 eV/atom; SG = No. 70; volume = 23.408 A^3/atom
1.0
0.000 5.775 5.905
4.119 0.000 5.905
4.119 5.775 0.000
Pm Ni Sn
4 4 4
direct
0.000 0.000 0.000 Pm
0.000 0.000 0.500 Pm
0.000 0.500 0.000 Pm
0.500 0.000 0.000 Pm
0.199 0.551 0.199 Ni
0.449 0.801 0.449 Ni
0.551 0.199 0.551 Ni
0.801 0.449 0.801 Ni
0.238 0.238 0.512 Sn
0.488 0.488 0.762 Sn
0.512 0.512 0.238 Sn
0.762 0.762 0.488 Sn

***

RbOs, optimized geometry, DFT PBE; total energy = -4.7935 eV/atom; SG = No. 176; volume = 56.572 A^3/atom
1.0
14.192 0.000 0.000
-7.096 12.291 0.000
0.000 0.000 3.892
Rb Os
6 6
direct
0.186 0.439 0.250 Rb
0.253 0.814 0.250 Rb
0.439 0.253 0.750 Rb
0.561 0.747 0.250 Rb
0.747 0.186 0.750 Rb
0.814 0.561 0.750 Rb
0.022 0.550 0.250 Os
0.450 0.472 0.250 Os
0.472 0.022 0.750 Os
0.528 0.978 0.250 Os
0.550 0.528 0.750 Os
0.978 0.450 0.750 Os

***

Mn4TeAs, optimized geometry, DFT PBE; SG = No. 216; volume = 15.145 A^3/atom; formation energy without anion corrections = 0.419 eV/atom
1.0
0.000 3.568 3.568
3.568 0.000 3.568
3.568 3.568 0.000
Mn Te As
4 1 1
direct
0.125 0.125 0.125 Mn
0.125 0.125 0.626 Mn
0.125 0.626 0.125 Mn
0.626 0.125 0.125 Mn
0.500 0.500 0.500 Te
0.750 0.750 0.750 As

***

ZnSnSb2W, optimized geometry, DFT PBE; SG = No. 123; volume = 27.835 A^3/atom; formation energy without anion corrections = 0.642 eV/atom
1.0
5.251 0.000 0.000
0.000 5.251 0.000
0.000 0.000 5.047
Zn Sn Sb W
1 1 2 1
direct
0.000 0.000 0.000 Zn
0.500 0.500 0.000 Sn
0.000 0.500 0.500 Sb
0.500 0.000 0.500 Sb
0.000 0.000 0.500 W

***

Number 1: total moment 0.00 μB per atom. Number 2: total moment 0.00 μB per atom. Number 3: total moment 1.65 μB per atom. Number 4: total moment 0.00 μB per atom.